Model P:
A plane-wave DFT calculation with GGA-PBE was carried out for a relaxed TmThPdRh crystal.

It has space group F-43m (No. 216), with a = 7.0590 Å, b = 7.0590 Å, c = 7.0590 Å, α = 90.00°, β = 90.00° and γ = 90.00°. The inequivalent atoms are Tm at (0.0000, 0.0000, 0.0000), Th at (0.0000, 0.0000, 0.5000), Pd at (0.2500, 0.2500, 0.7500) and Rh at (0.2500, 0.2500, 0.2500).

The total magnetization comes out at 0.0 μB/f.u. As for the density of states at the Fermi level: 4.5 states/eV/f.u.

Model Q:
A plane-wave DFT calculation with GGA-PBE was carried out for a relaxed TmThPdRh crystal.

It has space group Amm2 (No. 38), with a = 4.2470 Å, b = 3.8114 Å, c = 11.1422 Å, α = 90.00°, β = 90.00° and γ = 90.00°. The inequivalent atoms are Tm at (0.0000, 0.0000, 0.0000), Th at (0.5000, 0.0000, 0.7244), Pd at (0.5000, 0.0000, 0.4486) and Rh at (0.0000, 0.0000, 0.2616).

The total magnetization comes out at 0.0 μB/f.u. As for the density of states at the Fermi level: 3.1 states/eV/f.u.

Most stable of them? model Q.

Model P:
A plane-wave DFT calculation with GGA-PBE was carried out for a relaxed TiPd3Rh crystal.

It has space group Pm-3m (No. 221), with a = 4.5497 Å, b = 4.5497 Å, c = 4.5497 Å, α = 90.00°, β = 90.00° and γ = 90.00°. The inequivalent atoms are Ti at (0.0000, 0.0000, 0.0000), Pd at (0.0000, 0.0000, 0.5000) and Rh at (0.5000, 0.5000, 0.5000).

The total magnetization comes out at 0.6 μB/f.u. As for the density of states at the Fermi level: 4.9 states/eV/f.u.

Model Q:
A plane-wave DFT calculation with GGA-PBE was carried out for a relaxed TiPd3Rh crystal.

It has space group C2/c (No. 15), with a = 7.7838 Å, b = 5.6404 Å, c = 7.8911 Å, α = 90.00°, β = 112.93° and γ = 90.00°. The inequivalent atoms are Ti at (0.0000, 0.0424, 0.2500), Pd at (0.1426, 0.2388, 0.5977), Pd at (0.2500, 0.2500, 0.0000) and Rh at (0.0000, 0.4383, 0.2500).

The total magnetization comes out at 0.0 μB/f.u. As for the density of states at the Fermi level: 2.7 states/eV/f.u.

Most stable of them? model Q.

Model P:
A plane-wave DFT calculation with GGA-PBE was carried out for a relaxed Ti6PdRh crystal.

It has space group R-3m (No. 166, hexagonal axes), with a = 9.0861 Å, b = 9.0861 Å, c = 5.5775 Å, α = 90.00°, β = 90.00° and γ = 120.00°. The inequivalent atoms are Ti at (0.0033, 0.5016, 0.2498), Pd at (0.0000, 0.0000, 0.0000) and Rh at (0.0000, 0.0000, 0.5000).

The total magnetization comes out at 0.0 μB/f.u. As for the density of states at the Fermi level: 12.5 states/eV/f.u.

Model Q:
A plane-wave DFT calculation with GGA-PBE was carried out for a relaxed Ti6PdRh crystal.

It has space group Cmmm (No. 65), with a = 6.2499 Å, b = 9.0230 Å, c = 4.5182 Å, α = 90.00°, β = 90.00° and γ = 90.00°. The inequivalent atoms are Ti at (0.0000, 0.2493, 0.0000), Ti at (0.2378, 0.5000, 0.0000), Ti at (0.2500, 0.2500, 0.5000), Pd at (0.0000, 0.0000, 0.5000) and Rh at (0.0000, 0.5000, 0.5000).

The total magnetization comes out at 0.6 μB/f.u. As for the density of states at the Fermi level: 15.5 states/eV/f.u.

Most stable of them? model Q.